# Al3Tc

Al3Tc at its PBEsol-relaxed geometry (meta-GGA SCAN, Alexandria).

a = 3.2917 Å, b = 3.2917 Å, c = 5.3825 Å
α = 90.00°, β = 90.00°, γ = 90.00°
Atoms (fractional coordinates):
Al  0.0000  0.0000  0.7353
Al  0.5000  0.5000  0.0000
Al  0.0000  0.0000  0.2647
Tc  0.5000  0.5000  0.5000

Computed properties:
Raw total energy: -15.04 eV/atom
Formation energy: -0.460 eV per atom
Total moment: 0.00 μB/cell

***

# Al4Tc

Al4Tc at its PBEsol-relaxed geometry (meta-GGA SCAN, Alexandria).

a = 5.1173 Å, b = 5.1651 Å, c = 9.1068 Å
α = 106.47°, β = 93.06°, γ = 79.16°
Atoms (fractional coordinates):
Al  0.5079  0.8525  0.0000
Al  0.1468  0.5059  0.0000
Al  0.6852  0.4209  0.1531
Al  0.6852  0.2678  0.8469
Al  0.2194  0.2972  0.2387
Al  0.2194  0.0584  0.7613
Al  0.8091  0.6978  0.7497
Al  0.8091  0.9482  0.2503
Al  0.5869  0.5453  0.4666
Al  0.5869  0.0787  0.5334
Al  0.0678  0.7267  0.4965
Al  0.0678  0.2302  0.5035
Tc  0.9943  0.0115  0.0000
Tc  0.3301  0.5304  0.7250
Tc  0.3301  0.8054  0.2750

Computed properties:
Raw total energy: -13.64 eV/atom
Formation energy: -0.430 eV per atom
Total moment: 0.17 μB/cell

***

# Al4Tc

Al4Tc at its PBEsol-relaxed geometry (meta-GGA SCAN, Alexandria).

a = 4.9753 Å, b = 4.9753 Å, c = 4.9753 Å
α = 109.47°, β = 109.47°, γ = 109.47°
Atoms (fractional coordinates):
Tc  0.0000  0.0000  0.0000
Al  0.0000  0.0000  0.5000
Al  0.0000  0.5000  0.0000
Al  0.5000  0.0000  0.0000
Al  0.5000  0.5000  0.5000

Computed properties:
Raw total energy: -13.42 eV/atom
Formation energy: -0.202 eV per atom
Total moment: 0.00 μB/cell

***

# Al2Tc

Al2Tc at its PBEsol-relaxed geometry (meta-GGA SCAN, Alexandria).

a = 2.7019 Å, b = 4.2565 Å, c = 4.2565 Å
α = 120.00°, β = 90.00°, γ = 90.00°
Atoms (fractional coordinates):
Tc  0.0000  0.0000  0.0000
Al  0.6605  0.3333  0.6667
Al  0.3395  0.6667  0.3333

Computed properties:
Raw total energy: -17.22 eV/atom
Formation energy: -0.361 eV per atom
Total moment: 0.02 μB/cell